No. 1
First-principles (GGA-PBE) data for a relaxed Y4In3 crystal, as listed in Alexandria.

a b c (Å): 8.5015 8.5015 8.5015
angles (deg): 113.51 113.51 113.51
Last column: nearest neighbours and their distance in Å.
Atoms (fractional coordinates):
Y  0.0000  0.0000  0.0000  8 Y 3.31-3.48, 6 In 3.53
Y  0.0718  0.7680  0.6215  7 In 3.19-3.46, 2 Y 3.48-3.54
Y  0.2320  0.3785  0.9282  7 In 3.19-3.46, 2 Y 3.48-3.54
Y  0.3785  0.9282  0.2320  7 In 3.19-3.46, 2 Y 3.48-3.54
Y  0.5000  0.5000  0.5000  6 In 3.20, 2 Y 3.31
Y  0.6215  0.0718  0.7680  7 In 3.19-3.46, 2 Y 3.48-3.54
Y  0.7680  0.6215  0.0718  7 In 3.19-3.46, 2 Y 3.48-3.54
Y  0.9282  0.2320  0.3785  7 In 3.19-3.46, 2 Y 3.48-3.54
In  0.1247  0.5261  0.2527  9 Y 3.19-3.53
In  0.2527  0.1247  0.5261  9 Y 3.19-3.53
In  0.4739  0.7473  0.8753  9 Y 3.19-3.53
In  0.5261  0.2527  0.1247  9 Y 3.19-3.53
In  0.7473  0.8753  0.4739  9 Y 3.19-3.53
In  0.8753  0.4739  0.7473  9 Y 3.19-3.53

Values from the calculation:
For the energy relative to the elements, the calculation gives -438 meV/atom. Its raw total energy is -74.272 eV per cell. The calculation puts the relative energy among the computed polymorphs at 0 meV per atom. As for the density of states at the Fermi level: 15.2 states/eV per cell. Its crystal system is trigonal.

---

No. 2
First-principles (GGA-PBE) data for a relaxed HgSb crystal, as listed in Alexandria.

a b c (Å): 3.3495 3.3495 5.4386
angles (deg): 90.00 90.00 120.00
Last column: nearest neighbours and their distance in Å.
Atoms (fractional coordinates):
Hg  0.0000  0.0000  0.0000  6 Sb 3.34, 6 Hg 3.35
Sb  0.6667  0.3333  0.5000  6 Hg 3.34, 6 Sb 3.35

Values from the calculation:
Its raw total energy is -3.991 eV per cell. For the uncorrected formation energy, the calculation gives 0.217 eV per atom. The calculation puts the relative energy among the computed polymorphs at 188 meV per atom. As for the density of states at the Fermi level: 1.3 states/eV per cell. Its crystal system is hexagonal.

---

No. 3
First-principles (GGA-PBE) data for a relaxed MgMn2ICl crystal, as listed in Alexandria.

a b c (Å): 4.4349 4.4349 6.1982
angles (deg): 90.00 90.00 90.00
Last column: nearest neighbours and their distance in Å.
Atoms (fractional coordinates):
Mg  0.0000  0.0000  0.0000  2 Cl 3.10, 4 I 3.14
Mn  0.0000  0.5000  0.5000  2 Cl 2.22
Mn  0.5000  0.0000  0.5000  2 Cl 2.22
I  0.5000  0.5000  0.0000  4 Mg 3.14
Cl  0.0000  0.0000  0.5000  4 Mn 2.22

Values from the calculation:
Its raw total energy is -20.634 eV per cell. For the uncorrected formation energy, the calculation gives 0.539 eV per atom. As for the density of states at the Fermi level: 4.0 states/eV per cell. Its crystal system is tetragonal.

---

No. 4
First-principles (GGA-PBE) data for a relaxed KY2Ir crystal, as listed in Alexandria.

a b c (Å): 6.3165 6.3165 6.3165
angles (deg): 144.11 120.13 71.81
Last column: nearest neighbours and their distance in Å.
Atoms (fractional coordinates):
K  0.0000  0.0000  0.0000  8 Y 3.66-3.79, 4 Ir 3.70, 2 K 3.89
Y  0.3175  0.8175  0.5000  2 Ir 2.70
Y  0.6825  0.1825  0.5000  2 Ir 2.70
Ir  0.5000  0.5000  0.0000  4 Y 2.70

Values from the calculation:
For the energy relative to the elements, the calculation gives -3 meV/atom. Its raw total energy is -22.897 eV per cell. The calculation puts the relative energy among the computed polymorphs at 342 meV per atom. As for the density of states at the Fermi level: 2.6 states/eV per cell. Its crystal system is orthorhombic.

---

No. 5
First-principles (GGA-PBE) data for a relaxed LiSm3Al8 crystal, as listed in Alexandria.

a b c (Å): 9.6849 9.6849 9.6849
angles (deg): 33.51 33.51 33.51
Last column: nearest neighbours and their distance in Å.
Atoms (fractional coordinates):
Li  0.0000  0.0000  0.0000  12 Al 3.25-3.30, 4 Sm 3.33-3.38
Sm  0.1214  0.1214  0.1214  12 Al 3.20-3.40, 1 Li 3.33, 3 Sm 3.46
Sm  0.5007  0.5007  0.5007  12 Al 3.25-3.28, 4 Sm 3.46-3.52
Sm  0.6291  0.6291  0.6291  12 Al 3.22-3.32, 3 Li 3.38, 1 Sm 3.52
Al  0.0643  0.0643  0.5631  6 Al 2.79-2.80
Al  0.0643  0.5631  0.0643  6 Al 2.79-2.80
Al  0.0653  0.5635  0.5635  6 Al 2.78-2.80
Al  0.3138  0.3138  0.3138  6 Al 2.79-2.80
Al  0.5631  0.0643  0.0643  6 Al 2.79-2.80
Al  0.5635  0.0653  0.5635  6 Al 2.78-2.80
Al  0.5635  0.5635  0.0653  6 Al 2.78-2.80
Al  0.8136  0.8136  0.8136  6 Al 2.79-2.80

Values from the calculation:
For the energy relative to the elements, the calculation gives -399 meV/atom. Its raw total energy is -50.803 eV per cell. As for the density of states at the Fermi level: 6.7 states/eV per cell. Its crystal system is trigonal.

---

No. 6
First-principles (GGA-PBE) data for a relaxed Sr5DyBi4 crystal, as listed in Alexandria.

a b c (Å): 9.4330 9.4330 8.2663
angles (deg): 90.70 90.70 32.90
Last column: nearest neighbours and their distance in Å.
Atoms (fractional coordinates):
Sr  0.0000  0.0000  0.0000  4 Bi 3.45
Sr  0.3368  0.3368  0.4931  4 Bi 3.33-3.55
Sr  0.3387  0.3387  0.0038  4 Bi 3.38-3.52
Sr  0.6613  0.6613  0.9962  4 Bi 3.38-3.52
Sr  0.6632  0.6632  0.5069  4 Bi 3.33-3.55
Dy  0.0000  0.0000  0.5000  4 Bi 3.34
Bi  0.1813  0.1813  0.7499  6 Sr 3.36-3.55
Bi  0.4840  0.4840  0.7387  4 Sr 3.33-3.45, 2 Dy 3.34
Bi  0.5160  0.5160  0.2613  4 Sr 3.33-3.45, 2 Dy 3.34
Bi  0.8187  0.8187  0.2501  6 Sr 3.36-3.55

Values from the calculation:
For the energy relative to the elements, the calculation gives -722 meV/atom. Its raw total energy is -35.756 eV per cell. As for the density of states at the Fermi level: 4.8 states/eV per cell. Its crystal system is monoclinic.